(1)
# PBE-GGA HfSb2AsI, optimized geometry
# Raw formation energy: 520 meV/atom
# Magnetization: 1.068 μB per formula unit
# Relative energy among the computed polymorphs: 0 meV per atom
# N(E_F): 4.37 states/eV/cell
data_HfSb2AsI
_space_group_name_H-M_alt 'P 4/m m m'
_space_group_IT_number 123
_space_group_name_Hall '-P 4 2'
_cell_length_a 5.6147
_cell_length_b 5.6147
_cell_length_c 5.4756
_cell_angle_alpha 90.00
_cell_angle_beta 90.00
_cell_angle_gamma 90.00
loop_
_atom_site_label
_atom_site_type_symbol
_atom_site_fract_x
_atom_site_fract_y
_atom_site_fract_z
Hf1 Hf 0.0000 0.0000 0.0000
Sb1 Sb 0.0000 0.5000 0.0000
As1 As 0.5000 0.5000 0.5000
I1 I 0.0000 0.0000 0.5000

***

(2)
# PBE-GGA HfAsSeI2, optimized geometry
# Raw formation energy: 674 meV/atom
# Magnetization: 0.877 μB per formula unit
# N(E_F): 7.91 states/eV/cell
data_HfAsSeI2
_space_group_name_H-M_alt 'P 4/m m m'
_space_group_IT_number 123
_space_group_name_Hall '-P 4 2'
_cell_length_a 5.4965
_cell_length_b 5.4965
_cell_length_c 5.2913
_cell_angle_alpha 90.00
_cell_angle_beta 90.00
_cell_angle_gamma 90.00
loop_
_atom_site_label
_atom_site_type_symbol
_atom_site_fract_x
_atom_site_fract_y
_atom_site_fract_z
Hf1 Hf 0.0000 0.0000 0.0000
As1 As 0.0000 0.0000 0.5000
Se1 Se 0.5000 0.5000 0.0000
I1 I 0.0000 0.5000 0.5000

***

(3)
# PBE-GGA HfAsSe2I, optimized geometry
# Raw formation energy: -149 meV/atom
# Magnetization: 0.000 μB per formula unit
# Relative energy among the computed polymorphs: 0 meV per atom
# N(E_F): 3.74 states/eV/cell
data_HfAsSe2I
_space_group_name_H-M_alt 'P 4/m m m'
_space_group_IT_number 123
_space_group_name_Hall '-P 4 2'
_cell_length_a 5.0694
_cell_length_b 5.0694
_cell_length_c 5.5859
_cell_angle_alpha 90.00
_cell_angle_beta 90.00
_cell_angle_gamma 90.00
loop_
_atom_site_label
_atom_site_type_symbol
_atom_site_fract_x
_atom_site_fract_y
_atom_site_fract_z
Hf1 Hf 0.0000 0.0000 0.0000
As1 As 0.0000 0.0000 0.5000
Se1 Se 0.0000 0.5000 0.0000
I1 I 0.5000 0.5000 0.5000

***

(4)
# PBE-GGA HfAs2SeI, optimized geometry
# Raw formation energy: 46 meV/atom
# Magnetization: 0.000 μB per formula unit
# Relative energy among the computed polymorphs: 0 meV per atom
# N(E_F): 4.92 states/eV/cell
data_HfAs2SeI
_space_group_name_H-M_alt 'P 4/m m m'
_space_group_IT_number 123
_space_group_name_Hall '-P 4 2'
_cell_length_a 5.3122
_cell_length_b 5.3122
_cell_length_c 5.0381
_cell_angle_alpha 90.00
_cell_angle_beta 90.00
_cell_angle_gamma 90.00
loop_
_atom_site_label
_atom_site_type_symbol
_atom_site_fract_x
_atom_site_fract_y
_atom_site_fract_z
Hf1 Hf 0.0000 0.0000 0.0000
As1 As 0.0000 0.5000 0.0000
Se1 Se 0.0000 0.0000 0.5000
I1 I 0.5000 0.5000 0.5000

***

(5)
# PBE-GGA HfAsSe2I, optimized geometry
# Raw formation energy: 1140 meV/atom
# Magnetization: 0.785 μB per formula unit
# Relative energy among the computed polymorphs: 1290 meV per atom
# N(E_F): 4.84 states/eV/cell
data_HfAsSe2I
_space_group_name_H-M_alt 'P 4/m m m'
_space_group_IT_number 123
_space_group_name_Hall '-P 4 2'
_cell_length_a 5.2066
_cell_length_b 5.2066
_cell_length_c 5.3329
_cell_angle_alpha 90.00
_cell_angle_beta 90.00
_cell_angle_gamma 90.00
loop_
_atom_site_label
_atom_site_type_symbol
_atom_site_fract_x
_atom_site_fract_y
_atom_site_fract_z
Hf1 Hf 0.0000 0.0000 0.0000
As1 As 0.5000 0.5000 0.0000
Se1 Se 0.0000 0.5000 0.5000
I1 I 0.5000 0.5000 0.5000

***

(6)
# PBE-GGA HfAs2SeI, optimized geometry
# Raw formation energy: 1224 meV/atom
# Magnetization: 0.001 μB per formula unit
# Relative energy among the computed polymorphs: 1178 meV per atom
# N(E_F): 2.22 states/eV/cell
data_HfAs2SeI
_space_group_name_H-M_alt 'P 4/m m m'
_space_group_IT_number 123
_space_group_name_Hall '-P 4 2'
_cell_length_a 5.2557
_cell_length_b 5.2557
_cell_length_c 5.1094
_cell_angle_alpha 90.00
_cell_angle_beta 90.00
_cell_angle_gamma 90.00
loop_
_atom_site_label
_atom_site_type_symbol
_atom_site_fract_x
_atom_site_fract_y
_atom_site_fract_z
Hf1 Hf 0.0000 0.0000 0.0000
As1 As 0.0000 0.5000 0.5000
Se1 Se 0.5000 0.5000 0.0000
I1 I 0.5000 0.5000 0.5000

***

(7)
# PBE-GGA HfSi2AsI, optimized geometry
# Raw formation energy: 946 meV/atom
# Magnetization: 1.439 μB per formula unit
# N(E_F): 4.65 states/eV/cell
data_HfSi2AsI
_space_group_name_H-M_alt 'P 4/m m m'
_space_group_IT_number 123
_space_group_name_Hall '-P 4 2'
_cell_length_a 5.2460
_cell_length_b 5.2460
_cell_length_c 5.4550
_cell_angle_alpha 90.00
_cell_angle_beta 90.00
_cell_angle_gamma 90.00
loop_
_atom_site_label
_atom_site_type_symbol
_atom_site_fract_x
_atom_site_fract_y
_atom_site_fract_z
Hf1 Hf 0.0000 0.0000 0.0000
Si1 Si 0.0000 0.5000 0.0000
As1 As 0.5000 0.5000 0.5000
I1 I 0.0000 0.0000 0.5000

***

(8)
# PBE-GGA HfTe2AsI, optimized geometry
# Raw formation energy: 690 meV/atom
# Magnetization: 0.757 μB per formula unit
# Relative energy among the computed polymorphs: 481 meV per atom
# N(E_F): 4.03 states/eV/cell
data_HfTe2AsI
_space_group_name_H-M_alt 'P 4/m m m'
_space_group_IT_number 123
_space_group_name_Hall '-P 4 2'
_cell_length_a 5.4362
_cell_length_b 5.4362
_cell_length_c 5.2911
_cell_angle_alpha 90.00
_cell_angle_beta 90.00
_cell_angle_gamma 90.00
loop_
_atom_site_label
_atom_site_type_symbol
_atom_site_fract_x
_atom_site_fract_y
_atom_site_fract_z
Hf1 Hf 0.0000 0.0000 0.0000
Te1 Te 0.0000 0.5000 0.5000
As1 As 0.5000 0.5000 0.5000
I1 I 0.5000 0.5000 0.0000

***

(9)
# PBE-GGA HfTe2AsI, optimized geometry
# Raw formation energy: 209 meV/atom
# Magnetization: 2.363 μB per formula unit
# Relative energy among the computed polymorphs: 0 meV per atom
# N(E_F): 2.77 states/eV/cell
data_HfTe2AsI
_space_group_name_H-M_alt 'P 4/m m m'
_space_group_IT_number 123
_space_group_name_Hall '-P 4 2'
_cell_length_a 5.5773
_cell_length_b 5.5773
_cell_length_c 5.7416
_cell_angle_alpha 90.00
_cell_angle_beta 90.00
_cell_angle_gamma 90.00
loop_
_atom_site_label
_atom_site_type_symbol
_atom_site_fract_x
_atom_site_fract_y
_atom_site_fract_z
Hf1 Hf 0.0000 0.0000 0.0000
Te1 Te 0.0000 0.5000 0.0000
As1 As 0.5000 0.5000 0.5000
I1 I 0.0000 0.0000 0.5000

***

(10)
# PBE-GGA HfTlAsI2, optimized geometry
# Raw formation energy: 378 meV/atom
# Magnetization: 0.305 μB per formula unit
# N(E_F): 5.04 states/eV/cell
data_HfTlAsI2
_space_group_name_H-M_alt 'P 4/m m m'
_space_group_IT_number 123
_space_group_name_Hall '-P 4 2'
_cell_length_a 6.0795
_cell_length_b 6.0795
_cell_length_c 5.1263
_cell_angle_alpha 90.00
_cell_angle_beta 90.00
_cell_angle_gamma 90.00
loop_
_atom_site_label
_atom_site_type_symbol
_atom_site_fract_x
_atom_site_fract_y
_atom_site_fract_z
Hf1 Hf 0.0000 0.0000 0.0000
Tl1 Tl 0.5000 0.5000 0.0000
As1 As 0.0000 0.0000 0.5000
I1 I 0.0000 0.5000 0.5000

***

(11)
# PBE-GGA Hf2InAs2, optimized geometry
# Energy relative to the elements: -462 meV per atom
# Magnetization: 0.000 μB per formula unit
# Relative energy among the computed polymorphs: 43 meV per atom
# N(E_F): 10.36 states/eV/cell
data_Hf2InAs2
_space_group_name_H-M_alt 'P 4/m b m'
_space_group_IT_number 127
_space_group_name_Hall '-P 4 2ab'
_cell_length_a 7.6806
_cell_length_b 7.6806
_cell_length_c 3.4414
_cell_angle_alpha 90.00
_cell_angle_beta 90.00
_cell_angle_gamma 90.00
loop_
_atom_site_label
_atom_site_type_symbol
_atom_site_fract_x
_atom_site_fract_y
_atom_site_fract_z
Hf1 Hf 0.1461 0.3539 0.0000
In1 In 0.0000 0.0000 0.5000
As1 As 0.1431 0.6431 0.5000

***

(12)
# PBE-GGA HfIn3As, optimized geometry
# Energy relative to the elements: 796 meV per atom
# Magnetization: 0.000 μB per formula unit
# Relative energy among the computed polymorphs: 0 meV per atom
# N(E_F): 4.81 states/eV/cell
data_HfIn3As
_space_group_name_H-M_alt 'P m -3 m'
_space_group_IT_number 221
_space_group_name_Hall '-P 4 2 3'
_cell_length_a 5.2350
_cell_length_b 5.2350
_cell_length_c 5.2350
_cell_angle_alpha 90.00
_cell_angle_beta 90.00
_cell_angle_gamma 90.00
loop_
_atom_site_label
_atom_site_type_symbol
_atom_site_fract_x
_atom_site_fract_y
_atom_site_fract_z
Hf1 Hf 0.0000 0.0000 0.0000
In1 In 0.0000 0.5000 0.5000
As1 As 0.5000 0.5000 0.5000

***

(13)
# PBE-GGA Hf2InAs2, optimized geometry
# Energy relative to the elements: -505 meV per atom
# Magnetization: 0.000 μB per formula unit
# Relative energy among the computed polymorphs: 0 meV per atom
# N(E_F): 6.56 states/eV/cell
data_Hf2InAs2
_space_group_name_H-M_alt 'P 4/m b m'
_space_group_IT_number 127
_space_group_name_Hall '-P 4 2ab'
_cell_length_a 7.6187
_cell_length_b 7.6187
_cell_length_c 3.5327
_cell_angle_alpha 90.00
_cell_angle_beta 90.00
_cell_angle_gamma 90.00
loop_
_atom_site_label
_atom_site_type_symbol
_atom_site_fract_x
_atom_site_fract_y
_atom_site_fract_z
Hf1 Hf 0.1462 0.3538 0.0000
In1 In 0.0000 0.0000 0.0000
As1 As 0.1470 0.6470 0.5000

***

(14)
# PBE-GGA Hf6In2As, optimized geometry
# Energy relative to the elements: -354 meV per atom
# Magnetization: 0.000 μB per formula unit
# N(E_F): 5.05 states/eV/cell
data_Hf6In2As
_space_group_name_H-M_alt 'P -6 2 m'
_space_group_IT_number 189
_space_group_name_Hall 'P -6 -2'
_cell_length_a 7.7786
_cell_length_b 7.7786
_cell_length_c 3.6650
_cell_angle_alpha 90.00
_cell_angle_beta 90.00
_cell_angle_gamma 120.00
loop_
_atom_site_label
_atom_site_type_symbol
_atom_site_fract_x
_atom_site_fract_y
_atom_site_fract_z
Hf1 Hf 0.0000 0.3868 0.0000
Hf2 Hf 0.0000 0.7457 0.5000
In1 In 0.3333 0.6667 0.5000
As1 As 0.0000 0.0000 0.0000

***

(15)
# PBE-GGA HfInAs2, optimized geometry
# Energy relative to the elements: -80 meV per atom
# Magnetization: 0.000 μB per formula unit
# Relative energy among the computed polymorphs: 324 meV per atom
# N(E_F): 6.92 states/eV/cell
data_HfInAs2
_space_group_name_H-M_alt 'F m -3 m'
_space_group_IT_number 225
_space_group_name_Hall '-F 4 2 3'
_cell_length_a 6.9229
_cell_length_b 6.9229
_cell_length_c 6.9229
_cell_angle_alpha 90.00
_cell_angle_beta 90.00
_cell_angle_gamma 90.00
loop_
_atom_site_label
_atom_site_type_symbol
_atom_site_fract_x
_atom_site_fract_y
_atom_site_fract_z
Hf1 Hf 0.0000 0.0000 0.0000
In1 In 0.0000 0.0000 0.5000
As1 As 0.2500 0.2500 0.2500

***

(16)
# PBE-GGA HfIn2As, optimized geometry
# Energy relative to the elements: 113 meV per atom
# Magnetization: 0.000 μB per formula unit
# Relative energy among the computed polymorphs: 0 meV per atom
# N(E_F): 10.97 states/eV/cell
data_HfIn2As
_space_group_name_H-M_alt 'I -4 2 d'
_space_group_IT_number 122
_space_group_name_Hall 'I -4 2bw'
_cell_length_a 8.1134
_cell_length_b 8.1134
_cell_length_c 5.6846
_cell_angle_alpha 90.00
_cell_angle_beta 90.00
_cell_angle_gamma 90.00
loop_
_atom_site_label
_atom_site_type_symbol
_atom_site_fract_x
_atom_site_fract_y
_atom_site_fract_z
Hf1 Hf 0.0000 0.0000 0.0000
In1 In 0.2307 0.2500 0.6250
As1 As 0.0000 0.0000 0.5000

***

(17)
# PBE-GGA Hf2InAs, optimized geometry
# Energy relative to the elements: -140 meV per atom
# Magnetization: 0.000 μB per formula unit
# Relative energy among the computed polymorphs: 347 meV per atom
# N(E_F): 11.78 states/eV/cell
data_Hf2InAs
_space_group_name_H-M_alt 'F m -3 m'
_space_group_IT_number 225
_space_group_name_Hall '-F 4 2 3'
_cell_length_a 6.8818
_cell_length_b 6.8818
_cell_length_c 6.8818
_cell_angle_alpha 90.00
_cell_angle_beta 90.00
_cell_angle_gamma 90.00
loop_
_atom_site_label
_atom_site_type_symbol
_atom_site_fract_x
_atom_site_fract_y
_atom_site_fract_z
Hf1 Hf 0.2500 0.2500 0.2500
In1 In 0.0000 0.0000 0.0000
As1 As 0.0000 0.0000 0.5000

***

(18)
# PBE-GGA Hf2InAs, optimized geometry
# Energy relative to the elements: -467 meV per atom
# Magnetization: 0.000 μB per formula unit
# Relative energy among the computed polymorphs: 20 meV per atom
# N(E_F): 4.67 states/eV/cell
data_Hf2InAs
_space_group_name_H-M_alt 'R -3 m'
_space_group_IT_number 166
_space_group_name_Hall '-R 3 2"'
_cell_length_a 3.6233
_cell_length_b 3.6233
_cell_length_c 23.0934
_cell_angle_alpha 90.00
_cell_angle_beta 90.00
_cell_angle_gamma 120.00
loop_
_atom_site_label
_atom_site_type_symbol
_atom_site_fract_x
_atom_site_fract_y
_atom_site_fract_z
Hf1 Hf 0.0000 0.0000 0.2354
In1 In 0.0000 0.0000 0.0000
As1 As 0.0000 0.0000 0.5000

***

(19)
# PBE-GGA HfIn2As, optimized geometry
# Energy relative to the elements: 351 meV per atom
# Magnetization: 0.000 μB per formula unit
# Relative energy among the computed polymorphs: 238 meV per atom
# N(E_F): 15.61 states/eV/cell
data_HfIn2As
_space_group_name_H-M_alt 'F m -3 m'
_space_group_IT_number 225
_space_group_name_Hall '-F 4 2 3'
_cell_length_a 7.1897
_cell_length_b 7.1897
_cell_length_c 7.1897
_cell_angle_alpha 90.00
_cell_angle_beta 90.00
_cell_angle_gamma 90.00
loop_
_atom_site_label
_atom_site_type_symbol
_atom_site_fract_x
_atom_site_fract_y
_atom_site_fract_z
Hf1 Hf 0.0000 0.0000 0.0000
In1 In 0.2500 0.2500 0.2500
As1 As 0.0000 0.0000 0.5000

***

(20)
# PBE-GGA Hf2InAs, optimized geometry
# Energy relative to the elements: 486 meV per atom
# Magnetization: 0.000 μB per formula unit
# Relative energy among the computed polymorphs: 973 meV per atom
# N(E_F): 1.50 states/eV/cell
data_Hf2InAs
_space_group_name_H-M_alt 'I -4 2 d'
_space_group_IT_number 122
_space_group_name_Hall 'I -4 2bw'
_cell_length_a 5.8678
_cell_length_b 5.8678
_cell_length_c 13.9757
_cell_angle_alpha 90.00
_cell_angle_beta 90.00
_cell_angle_gamma 90.00
loop_
_atom_site_label
_atom_site_type_symbol
_atom_site_fract_x
_atom_site_fract_y
_atom_site_fract_z
Hf1 Hf 0.2145 0.2500 0.1250
In1 In 0.0000 0.0000 0.5000
As1 As 0.0000 0.0000 0.0000